The following is a DFT calculation (GGA-PBE) of a relaxed TbMg3Ni2 crystal.

Summary:
ΔH_f (0 K) = -1.096 eV/f.u.
magnetic moment = 0.0 μB/cell

```
data_TbMg3Ni2
_cell_length_a 14.557
_cell_length_b 3.878
_cell_length_c 10.359
_cell_angle_alpha 90.00
_cell_angle_beta 123.55
_cell_angle_gamma 90.00
_space_group_name_H-M_alt 'C 1 2/m 1'
_space_group_IT_number 12
loop_
_space_group_symop_operation_xyz
'x,y,z'
'-x,-y,-z'
'-x,y,-z'
'x,-y,z'
'x+1/2,y+1/2,z'
'-x+1/2,-y+1/2,-z'
'-x+1/2,y+1/2,-z'
'x+1/2,-y+1/2,z'
loop_
_atom_site_label
_atom_site_type_symbol
_atom_site_fract_x
_atom_site_fract_y
_atom_site_fract_z
Tb1 Tb 0.149 0.000 0.231
Mg1 Mg 0.082 0.500 0.925
Mg2 Mg 0.084 0.500 0.450
Mg3 Mg 0.150 0.000 0.740
Ni1 Ni 0.228 0.000 0.045
Ni2 Ni 0.231 0.000 0.552
```